DFT (PBE) results for a relaxed structure of SrLiAsPt.

```
4
Lattice="-1.7603 -4.5624 0.6976 -0.9165 -1.6210 4.5753 -4.6606 -0.6459 1.5041" Properties=species:S:1:pos:R:3 pbc="T T T"
As 0.0000 0.0000 0.0000
Sr -1.8343 -1.7073 1.6942
Li -5.5030 -5.1220 5.0827
Pt -3.6687 -3.4147 3.3885
```

Excess energy over the best structure of this formula in the dataset, eV/atom: 0.151
E, eV per atom: -4.00
Size of the total moment, μB/atom: 0.000

DFT (PBE) results for a relaxed structure of SrLiAsPt.

```
4
Lattice="0.0000 3.3970 3.3970 3.3970 0.0000 3.3970 3.3970 3.3970 0.0000" Properties=species:S:1:pos:R:3 pbc="T T T"
Pt 1.6985 1.6985 1.6985
Sr 0.0000 0.0000 0.0000
As 3.3970 3.3970 3.3970
Li 5.0955 5.0955 5.0955
```

Excess energy over the best structure of this formula in the dataset, eV/atom: 0.022
E, eV per atom: -4.13
Size of the total moment, μB/atom: 0.000

Look up the excess energy over the best structure of this formula in the dataset of the first one. 0.151 eV/atom